A relaxed RbCd3W crystal. Source: Alexandria via LeMat-Bulk, functional GGA-PBE.

Values from the calculation:
Distance to the lowest polymorph of the same formula: 5.72 eV per formula unit
Calculated volume: 55.00 A^3/atom
Total moment: 5.0 μB per cell
ΔH_f (0 K): 9.612 eV/f.u.

Lattice parameters (Å, degrees): 6.503 6.503 6.503 90.00 90.00 90.00
Space group Pm-3m (No. 221)
Inequivalent atoms, fractional coordinates:
Rb: 0.000 0.000 0.000
Cd: 0.000 0.000 0.500
W: 0.500 0.500 0.500


A relaxed RbCdW2 crystal. Source: Alexandria via LeMat-Bulk, functional GGA-PBE.

Values from the calculation:
Calculated volume: 27.87 A^3/atom
Total moment: 0.0 μB per cell
ΔH_f (0 K): 7.333 eV/f.u.

Lattice parameters (Å, degrees): 4.567 4.567 21.382 90.00 90.00 90.00
Space group I-42d (No. 122)
Inequivalent atoms, fractional coordinates:
Rb: 0.000 0.000 0.000
Cd: 0.000 0.000 0.500
W: 0.092 0.250 0.625


A relaxed RbYCd17 crystal. Source: Alexandria via LeMat-Bulk, functional GGA-PBE.

Values from the calculation:
Calculated volume: 24.22 A^3/atom
Total moment: 0.0 μB per cell
ΔH_f (0 K): -1.331 eV/f.u.

Lattice parameters (Å, degrees): 10.2546 10.2546 15.1574 90.00 90.00 120.00
Space group R3m (No. 160, hexagonal axes)
Inequivalent atoms, fractional coordinates:
Rb: 0.0000 0.0000 0.0000
Y: 0.0000 0.0000 0.3340
Cd: 0.0000 0.0000 0.5549
Cd: 0.0000 0.0000 0.7532
Cd: 0.0386 0.3686 0.3297
Cd: 0.1753 0.3507 0.1390
Cd: 0.1787 0.3574 0.5010
Cd: 0.1905 0.3810 0.8494


A relaxed RbY3Cd crystal. Source: Alexandria via LeMat-Bulk, functional GGA-PBE.

Values from the calculation:
Distance to the lowest polymorph of the same formula: 4.02 eV per formula unit
Calculated volume: 33.70 A^3/atom
Total moment: 0.0 μB per cell
ΔH_f (0 K): 6.336 eV/f.u.

Lattice parameters (Å, degrees): 5.523 5.523 5.523 90.00 90.00 90.00
Space group Pm-3m (No. 221)
Inequivalent atoms, fractional coordinates:
Rb: 0.000 0.000 0.000
Y: 0.000 0.000 0.500
Cd: 0.500 0.500 0.500


A relaxed RbY3Cd crystal. Source: Alexandria via LeMat-Bulk, functional GGA-PBE.

Values from the calculation:
Distance to the lowest polymorph of the same formula: 0.00 eV per formula unit
Calculated volume: 40.76 A^3/atom
Total moment: 1.7 μB per cell
ΔH_f (0 K): 2.321 eV/f.u.

Lattice parameters (Å, degrees): 5.885 5.885 5.885 90.00 90.00 90.00
Space group Pm-3m (No. 221)
Inequivalent atoms, fractional coordinates:
Rb: 0.000 0.000 0.000
Y: 0.000 0.500 0.500
Cd: 0.500 0.500 0.500


A relaxed Rb2YCd crystal. Source: Alexandria via LeMat-Bulk, functional GGA-PBE.

Values from the calculation:
Calculated volume: 58.32 A^3/atom
Total moment: 0.0 μB per cell
ΔH_f (0 K): 2.043 eV/f.u.

Lattice parameters (Å, degrees): 12.393 12.393 6.076 90.00 90.00 90.00
Space group I-42d (No. 122)
Inequivalent atoms, fractional coordinates:
Rb: 0.137 0.250 0.125
Y: 0.000 0.000 0.500
Cd: 0.000 0.000 0.000


A relaxed RbZnCd3 crystal. Source: Alexandria via LeMat-Bulk, functional GGA-PBE.

Values from the calculation:
Distance to the lowest polymorph of the same formula: 0.00 eV per formula unit
Calculated volume: 28.03 A^3/atom
Total moment: 0.0 μB per cell
ΔH_f (0 K): -0.084 eV/f.u.

Lattice parameters (Å, degrees): 13.575 6.827 6.703 90.00 115.52 90.00
Space group Cm (No. 8)
Inequivalent atoms, fractional coordinates:
Rb: 0.000 0.000 0.000
Rb: 0.203 0.500 0.899
Zn: 0.163 0.000 0.659
Zn: 0.389 0.000 0.763
Cd: 0.040 0.500 0.217
Cd: 0.242 0.265 0.436
Cd: 0.302 0.000 0.113
Cd: 0.469 0.270 0.486


A relaxed Rb2ZnCd3 crystal. Source: Alexandria via LeMat-Bulk, functional GGA-PBE.

Values from the calculation:
Calculated volume: 37.63 A^3/atom
Total moment: 0.0 μB per cell
ΔH_f (0 K): 0.059 eV/f.u.

Lattice parameters (Å, degrees): 13.573 5.017 8.500 90.00 128.73 90.00
Space group Cm (No. 8)
Inequivalent atoms, fractional coordinates:
Rb: 0.000 0.000 0.000
Rb: 0.006 0.500 0.508
Zn: 0.253 0.500 0.076
Cd: 0.253 0.000 0.590
Cd: 0.253 0.500 0.401
Cd: 0.254 0.000 0.940


A relaxed Rb2ZnCd crystal. Source: Alexandria via LeMat-Bulk, functional GGA-PBE.

Values from the calculation:
Distance to the lowest polymorph of the same formula: 0.50 eV per formula unit
Calculated volume: 44.42 A^3/atom
Total moment: 0.0 μB per cell
ΔH_f (0 K): 0.563 eV/f.u.

Lattice parameters (Å, degrees): 4.453 4.453 8.959 90.00 90.00 90.00
Space group P4/mmm (No. 123)
Inequivalent atoms, fractional coordinates:
Rb: 0.000 0.000 0.243
Zn: 0.500 0.500 0.000
Cd: 0.500 0.500 0.500


A relaxed RbZn3Cd9 crystal. Source: Alexandria via LeMat-Bulk, functional GGA-PBE.

Values from the calculation:
Calculated volume: 22.76 A^3/atom
Total moment: 0.0 μB per cell
ΔH_f (0 K): 0.081 eV/f.u.

Lattice parameters (Å, degrees): 5.756 14.415 7.666 90.00 111.54 90.00
Space group C2/m (No. 12)
Inequivalent atoms, fractional coordinates:
Rb: 0.000 0.000 0.000
Zn: 0.000 0.500 0.500
Zn: 0.250 0.250 0.000
Cd: 0.000 0.000 0.500
Cd: 0.101 0.386 0.219
Cd: 0.175 0.178 0.347


A relaxed RbZnCd3 crystal. Source: Alexandria via LeMat-Bulk, functional GGA-PBE.

Values from the calculation:
Distance to the lowest polymorph of the same formula: 3.20 eV per formula unit
Calculated volume: 72.64 A^3/atom
Total moment: 0.0 μB per cell
ΔH_f (0 K): 3.120 eV/f.u.

Lattice parameters (Å, degrees): 7.135 7.135 7.135 90.00 90.00 90.00
Space group Pm-3m (No. 221)
Inequivalent atoms, fractional coordinates:
Rb: 0.000 0.000 0.000
Zn: 0.500 0.500 0.500
Cd: 0.000 0.000 0.500


A relaxed RbZnCd3 crystal. Source: Alexandria via LeMat-Bulk, functional GGA-PBE.

Values from the calculation:
Distance to the lowest polymorph of the same formula: 0.37 eV per formula unit
Calculated volume: 30.68 A^3/atom
Total moment: 0.0 μB per cell
ΔH_f (0 K): 0.282 eV/f.u.

Lattice parameters (Å, degrees): 5.353 5.353 5.353 90.00 90.00 90.00
Space group Pm-3m (No. 221)
Inequivalent atoms, fractional coordinates:
Rb: 0.000 0.000 0.000
Zn: 0.500 0.500 0.500
Cd: 0.000 0.500 0.500


A relaxed Rb2ZnCd4 crystal. Source: Alexandria via LeMat-Bulk, functional GGA-PBE.

Values from the calculation:
Calculated volume: 37.88 A^3/atom
Total moment: 0.0 μB per cell
ΔH_f (0 K): 0.567 eV/f.u.

Lattice parameters (Å, degrees): 5.312 5.312 18.798 90.00 90.00 90.00
Space group I4/mmm (No. 139)
Inequivalent atoms, fractional coordinates:
Rb: 0.000 0.000 0.154
Zn: 0.000 0.000 0.500
Cd: 0.000 0.000 0.357
Cd: 0.000 0.500 0.000


A relaxed RbZn3Cd crystal. Source: Alexandria via LeMat-Bulk, functional GGA-PBE.

Values from the calculation:
Distance to the lowest polymorph of the same formula: 2.66 eV per formula unit
Calculated volume: 62.12 A^3/atom
Total moment: 0.0 μB per cell
ΔH_f (0 K): 3.813 eV/f.u.

Lattice parameters (Å, degrees): 6.772 6.772 6.772 90.00 90.00 90.00
Space group Pm-3m (No. 221)
Inequivalent atoms, fractional coordinates:
Rb: 0.000 0.000 0.000
Zn: 0.000 0.000 0.500
Cd: 0.500 0.500 0.500


A relaxed Rb4ZnCd5 crystal. Source: Alexandria via LeMat-Bulk, functional GGA-PBE.

Values from the calculation:
Calculated volume: 42.25 A^3/atom
Total moment: 0.0 μB per cell
ΔH_f (0 K): 0.094 eV/f.u.

Lattice parameters (Å, degrees): 10.875 10.875 7.145 90.00 90.00 90.00
Space group I4 (No. 79)
Inequivalent atoms, fractional coordinates:
Rb: 0.073 0.694 0.000
Zn: 0.000 0.000 0.792
Cd: 0.000 0.000 0.188
Cd: 0.072 0.812 0.507


A relaxed Rb2ZnCd crystal. Source: Alexandria via LeMat-Bulk, functional GGA-PBE.

Values from the calculation:
Distance to the lowest polymorph of the same formula: 0.00 eV per formula unit
Calculated volume: 48.39 A^3/atom
Total moment: 0.0 μB per cell
ΔH_f (0 K): 0.066 eV/f.u.

Lattice parameters (Å, degrees): 8.462 4.879 9.784 90.00 106.61 90.00
Space group Cm (No. 8)
Inequivalent atoms, fractional coordinates:
Rb: 0.000 0.000 0.000
Rb: 0.179 0.000 0.540
Zn: 0.256 0.500 0.270
Cd: 0.423 0.000 0.270


A relaxed Rb3ZnCd4 crystal. Source: Alexandria via LeMat-Bulk, functional GGA-PBE.

Values from the calculation:
Calculated volume: 36.16 A^3/atom
Total moment: 0.0 μB per cell
ΔH_f (0 K): -0.083 eV/f.u.

Lattice parameters (Å, degrees): 6.464 7.778 11.508 90.00 90.00 90.00
Space group Imm2 (No. 44)
Inequivalent atoms, fractional coordinates:
Rb: 0.000 0.000 0.000
Rb: 0.000 0.247 0.340
Zn: 0.000 0.500 0.882
Cd: 0.000 0.305 0.674
Cd: 0.242 0.500 0.087


A relaxed RbZn3Cd crystal. Source: Alexandria via LeMat-Bulk, functional GGA-PBE.

Values from the calculation:
Distance to the lowest polymorph of the same formula: 0.00 eV per formula unit
Calculated volume: 29.96 A^3/atom
Total moment: 0.0 μB per cell
ΔH_f (0 K): 1.155 eV/f.u.

Lattice parameters (Å, degrees): 5.311 5.311 5.311 90.00 90.00 90.00
Space group Pm-3m (No. 221)
Inequivalent atoms, fractional coordinates:
Rb: 0.000 0.000 0.000
Zn: 0.000 0.500 0.500
Cd: 0.500 0.500 0.500


A relaxed RbZnCd4 crystal. Source: Alexandria via LeMat-Bulk, functional GGA-PBE.

Values from the calculation:
Distance to the lowest polymorph of the same formula: 0.10 eV per formula unit
Calculated volume: 30.39 A^3/atom
Total moment: 0.0 μB per cell
ΔH_f (0 K): 0.101 eV/f.u.

Lattice parameters (Å, degrees): 17.615 7.214 6.044 90.00 108.29 90.00
Space group C2/m (No. 12)
Inequivalent atoms, fractional coordinates:
Rb: 0.218 0.000 0.157
Zn: 0.042 0.500 0.736
Cd: 0.000 0.199 0.000
Cd: 0.092 0.198 0.530
Cd: 0.130 0.500 0.219


A relaxed RbZn2Cd10 crystal. Source: Alexandria via LeMat-Bulk, functional GGA-PBE.

Values from the calculation:
Calculated volume: 23.40 A^3/atom
Total moment: 0.0 μB per cell
ΔH_f (0 K): -0.104 eV/f.u.

Lattice parameters (Å, degrees): 10.113 11.826 10.173 90.00 90.00 90.00
Space group Cmcm (No. 63)
Inequivalent atoms, fractional coordinates:
Rb: 0.000 0.122 0.250
Zn: 0.250 0.250 0.000
Cd: 0.000 0.158 0.601
Cd: 0.000 0.380 0.045
Cd: 0.149 0.378 0.750
Cd: 0.224 0.000 0.000
Cd: 0.226 0.368 0.250


A relaxed Rb2ZnCd crystal. Source: Alexandria via LeMat-Bulk, functional GGA-PBE.

Values from the calculation:
Distance to the lowest polymorph of the same formula: 0.51 eV per formula unit
Calculated volume: 44.71 A^3/atom
Total moment: 0.0 μB per cell
ΔH_f (0 K): 0.579 eV/f.u.

Lattice parameters (Å, degrees): 8.943 8.943 8.943 90.00 90.00 90.00
Space group Fm-3m (No. 225)
Inequivalent atoms, fractional coordinates:
Rb: 0.250 0.250 0.250
Zn: 0.000 0.000 0.000
Cd: 0.000 0.000 0.500


A relaxed RbZnCd4 crystal. Source: Alexandria via LeMat-Bulk, functional GGA-PBE.

Values from the calculation:
Distance to the lowest polymorph of the same formula: 0.68 eV per formula unit
Calculated volume: 28.46 A^3/atom
Total moment: 0.0 μB per cell
ΔH_f (0 K): 0.685 eV/f.u.

Lattice parameters (Å, degrees): 8.807 8.807 8.807 90.00 90.00 90.00
Space group F-43m (No. 216)
Inequivalent atoms, fractional coordinates:
Rb: 0.000 0.000 0.000
Zn: 0.250 0.250 0.750
Cd: 0.124 0.124 0.376


A relaxed RbZnCd4 crystal. Source: Alexandria via LeMat-Bulk, functional GGA-PBE.

Values from the calculation:
Distance to the lowest polymorph of the same formula: 0.00 eV per formula unit
Calculated volume: 28.54 A^3/atom
Total moment: 0.0 μB per cell
ΔH_f (0 K): 0.001 eV/f.u.

Lattice parameters (Å, degrees): 5.427 9.634 6.566 90.00 94.13 90.00
Space group P2_1/m (No. 11)
Inequivalent atoms, fractional coordinates:
Rb: 0.011 0.250 0.020
Zn: 0.233 0.250 0.551
Cd: 0.000 0.000 0.500
Cd: 0.295 0.750 0.516
Cd: 0.488 0.011 0.770


A relaxed Rb3Zn2Cd9 crystal. Source: Alexandria via LeMat-Bulk, functional GGA-PBE.

Values from the calculation:
Calculated volume: 31.48 A^3/atom
Total moment: 0.0 μB per cell
ΔH_f (0 K): -0.235 eV/f.u.

Lattice parameters (Å, degrees): 4.909 12.681 14.159 90.00 90.00 90.00
Space group Immm (No. 71)
Inequivalent atoms, fractional coordinates:
Rb: 0.000 0.000 0.000
Rb: 0.000 0.000 0.298
Zn: 0.000 0.245 0.500
Cd: 0.000 0.291 0.103
Cd: 0.000 0.299 0.309
Cd: 0.000 0.500 0.000